Record 1
# CaAgCl2 | Alexandria | PBE | relaxed
data_CaAgCl2
_chemical_formula_sum 'Ca1 Ag1 Cl2'
_symmetry_space_group_name_H-M 'P 1 m 1'
_symmetry_Int_Tables_number 6
_cell_length_a 5.4695
_cell_length_b 3.9412
_cell_length_c 5.8167
_cell_angle_alpha 90.00
_cell_angle_beta 117.95
_cell_angle_gamma 90.00
loop_
_symmetry_equiv_pos_as_xyz
'x,y,z'
'x,-y,z'
loop_
_atom_site_label
_atom_site_fract_x
_atom_site_fract_y
_atom_site_fract_z
_atom_site_occupancy
Ca1 0.0000 0.0000 0.0000 1
Ag1 0.7384 0.5000 0.4795 1
Cl1 0.1818 0.5000 0.3654 1
Cl2 0.5153 0.0000 0.0308 1
# E_form (uncorrected): -1.170 eV/atom
# offset from the most stable computed form: 0.177 eV/atom

Record 2
# CaAgCl2 | Alexandria | PBE | relaxed
data_CaAgCl2
_chemical_formula_sum 'Ca3 Ag3 Cl6'
_symmetry_space_group_name_H-M 'R -3 m'
_symmetry_Int_Tables_number 166
_symmetry_space_group_name_Hall '-R 3 2"'
_cell_length_a 4.1646
_cell_length_b 4.1646
_cell_length_c 24.3254
_cell_angle_alpha 90.00
_cell_angle_beta 90.00
_cell_angle_gamma 120.00
loop_
_atom_site_label
_atom_site_fract_x
_atom_site_fract_y
_atom_site_fract_z
_atom_site_occupancy
Ca1 0.0000 0.0000 0.0000 1
Ag1 0.0000 0.0000 0.5000 1
Cl1 0.0000 0.0000 0.1074 1
# E_form (uncorrected): -0.897 eV/atom
# offset from the most stable computed form: 0.450 eV/atom

Record 3
# Ca2AgCl | Alexandria | PBE | relaxed
data_Ca2AgCl
_chemical_formula_sum 'Ca4 Ag2 Cl2'
_symmetry_space_group_name_H-M 'I m m m'
_symmetry_Int_Tables_number 71
_symmetry_space_group_name_Hall '-I 2 2'
_cell_length_a 4.0117
_cell_length_b 6.4626
_cell_length_c 8.9199
_cell_angle_alpha 90.00
_cell_angle_beta 90.00
_cell_angle_gamma 90.00
loop_
_atom_site_label
_atom_site_fract_x
_atom_site_fract_y
_atom_site_fract_z
_atom_site_occupancy
Ca1 0.0000 0.0000 0.2228 1
Ag1 0.0000 0.5000 0.0000 1
Cl1 0.0000 0.5000 0.5000 1
# E_form (uncorrected): -0.754 eV/atom
# offset from the most stable computed form: 0.198 eV/atom

Question: What is the formula in the first record?
Answer: CaAgCl2